No. 1
The following is a PBE calculation of AsPtPbO5 after structural relaxation, from the Alexandria database.

DOS at the Fermi energy, states/eV/cell: 6.8
Magnetic moment, μB per formula unit: 0.0
Space group: C2/c (15)
E_form (uncorrected), eV/atom: -0.7720

Structure (POSCAR):
```
AsPtPbO5
1.0
3.225 -4.549 0.000
3.225 4.549 0.000
-2.625 0.000 8.599
As Pt Pb O
2 2 2 10
direct
0.178 0.822 0.750
0.822 0.178 0.250
0.188 0.812 0.250
0.812 0.188 0.750
0.500 0.500 0.000
0.500 0.500 0.500
0.050 0.174 0.402
0.139 0.514 0.792
0.174 0.050 0.902
0.395 0.605 0.250
0.486 0.861 0.708
0.514 0.139 0.292
0.605 0.395 0.750
0.826 0.950 0.098
0.861 0.486 0.208
0.950 0.826 0.598
```


No. 2
The following is a PBE calculation of PuAs2PbO8 after structural relaxation, from the Alexandria database.

DOS at the Fermi energy, states/eV/cell: 2.8
Magnetic moment, μB per formula unit: 4.0
Space group: C2/m (12)
E_form (uncorrected), eV/atom: -1.6874

Structure (POSCAR):
```
PuAs2PbO8
1.0
4.383 -2.920 0.000
4.383 2.920 0.000
-0.145 0.000 7.864
Pu As Pb O
1 2 1 8
direct
0.000 0.000 0.000
0.361 0.361 0.237
0.639 0.639 0.763
0.000 0.000 0.500
0.230 0.718 0.215
0.242 0.242 0.060
0.281 0.281 0.429
0.282 0.770 0.785
0.718 0.230 0.215
0.719 0.719 0.571
0.758 0.758 0.940
0.770 0.282 0.785
```


No. 3
The following is a PBE calculation of Rb3As2PbO8 after structural relaxation, from the Alexandria database.

DOS at the Fermi energy, states/eV/cell: 3.3
Magnetic moment, μB per formula unit: 0.0
Space group: P-3m1 (164)
E_form (uncorrected), eV/atom: -1.4504

Structure (POSCAR):
```
Rb3As2PbO8
1.0
6.103 0.000 0.000
-3.051 5.285 0.000
0.000 0.000 8.204
Rb As Pb O
3 2 1 8
direct
0.000 0.000 0.000
0.333 0.667 0.711
0.667 0.333 0.289
0.333 0.667 0.250
0.667 0.333 0.750
0.000 0.000 0.500
0.177 0.354 0.318
0.177 0.823 0.318
0.333 0.667 0.043
0.354 0.177 0.682
0.646 0.823 0.318
0.667 0.333 0.957
0.823 0.177 0.682
0.823 0.646 0.682
```


No. 4
The following is a PBE calculation of RbAs2PbO6 after structural relaxation, from the Alexandria database.

DOS at the Fermi energy, states/eV/cell: 6.3
Magnetic moment, μB per formula unit: 0.0
Space group: C2/c (15)
E_form (uncorrected), eV/atom: -1.2821

Structure (POSCAR):
```
RbAs2PbO6
1.0
5.502 -5.418 0.000
5.502 5.418 0.000
-1.560 0.000 6.057
Rb As Pb O
2 4 2 12
direct
0.190 0.810 0.750
0.810 0.190 0.250
0.137 0.294 0.775
0.294 0.137 0.275
0.706 0.863 0.725
0.863 0.706 0.225
0.388 0.612 0.250
0.612 0.388 0.750
0.064 0.613 0.284
0.146 0.174 0.016
0.174 0.146 0.516
0.307 0.451 0.848
0.387 0.936 0.216
0.451 0.307 0.348
0.549 0.693 0.652
0.613 0.064 0.784
0.693 0.549 0.152
0.826 0.854 0.484
0.854 0.826 0.984
0.936 0.387 0.716
```


No. 5
The following is a PBE calculation of RbAs2PbO8 after structural relaxation, from the Alexandria database.

DOS at the Fermi energy, states/eV/cell: 7.2
Magnetic moment, μB per formula unit: 1.1
Space group: R32 (155)
E_form (uncorrected), eV/atom: -1.0625

Structure (POSCAR):
```
RbAs2PbO8
1.0
2.600 1.501 9.098
-2.600 1.501 9.098
0.000 -3.002 9.098
Rb As Pb O
1 2 1 8
direct
0.000 0.000 0.000
0.238 0.238 0.238
0.762 0.762 0.762
0.500 0.500 0.500
0.107 0.475 0.764
0.236 0.525 0.893
0.300 0.300 0.300
0.475 0.764 0.107
0.525 0.893 0.236
0.700 0.700 0.700
0.764 0.107 0.475
0.893 0.236 0.525
```


No. 6
The following is a PBE calculation of RbAsPbO4 after structural relaxation, from the Alexandria database.

DOS at the Fermi energy, states/eV/cell: 0.0
Magnetic moment, μB per formula unit: 0.0
Space group: P2_1/m (11)
E_form (uncorrected), eV/atom: -1.4763

Structure (POSCAR):
```
RbAsPbO4
1.0
6.434 0.000 0.000
0.000 6.106 0.000
-2.916 0.000 7.352
Rb As Pb O
2 2 2 8
direct
0.194 0.250 0.456
0.806 0.750 0.544
0.234 0.750 0.192
0.766 0.250 0.808
0.293 0.250 0.005
0.707 0.750 0.995
0.058 0.750 0.963
0.064 0.750 0.316
0.406 0.522 0.236
0.406 0.978 0.236
0.594 0.022 0.764
0.594 0.478 0.764
0.936 0.250 0.684
0.942 0.250 0.037
```


No. 7
The following is a PBE calculation of AsRhPbO5 after structural relaxation, from the Alexandria database.

DOS at the Fermi energy, states/eV/cell: 4.3
Magnetic moment, μB per formula unit: 0.1
Space group: C2/c (15)
E_form (uncorrected), eV/atom: -0.8077

Structure (POSCAR):
```
AsRhPbO5
1.0
3.337 -4.309 0.000
3.337 4.309 0.000
-2.992 0.000 8.899
As Rh Pb O
2 2 2 10
direct
0.174 0.826 0.750
0.826 0.174 0.250
0.178 0.822 0.250
0.822 0.178 0.750
0.500 0.500 0.000
0.500 0.500 0.500
0.068 0.140 0.390
0.135 0.517 0.784
0.140 0.068 0.890
0.388 0.612 0.250
0.483 0.865 0.716
0.517 0.135 0.284
0.612 0.388 0.750
0.860 0.932 0.110
0.865 0.483 0.216
0.932 0.860 0.610
```


No. 8
The following is a PBE calculation of AsRhPbO6 after structural relaxation, from the Alexandria database.

DOS at the Fermi energy, states/eV/cell: 4.5
Magnetic moment, μB per formula unit: 1.5
Space group: P312 (149)
E_form (uncorrected), eV/atom: -0.9895

Structure (POSCAR):
```
AsRhPbO6
1.0
5.140 0.000 0.000
-2.570 4.451 0.000
0.000 0.000 5.257
As Rh Pb O
1 1 1 6
direct
0.000 0.000 0.000
0.333 0.667 0.000
0.667 0.333 0.500
0.041 0.318 0.205
0.041 0.722 0.795
0.278 0.318 0.795
0.278 0.959 0.205
0.682 0.722 0.205
0.682 0.959 0.795
```